Below is a geometry-optimized DyMgSnBi structure, with properties calculated at the GGA-PBE level.

Lattice parameters (Å, degrees): 7.577 7.577 7.577 90.00 90.00 90.00
Space group F-43m (No. 216)
Symmetry-distinct sites (fractional):
Dy 0.000 0.000 0.000 (multiplicity 4)
Mg 0.000 0.000 0.500 (multiplicity 4)
Sn 0.250 0.250 0.250 (multiplicity 4)
Bi 0.250 0.250 0.750 (multiplicity 4)

---

Below is a geometry-optimized Tb2DyMgBi4 structure, with properties calculated at the GGA-PBE level.

Lattice parameters (Å, degrees): 7.772 4.445 7.787 90.00 109.92 90.00
Space group P2/m (No. 10)
Symmetry-distinct sites (fractional):
Tb 0.000 0.000 0.000 (multiplicity 1)
Tb 0.000 0.500 0.500 (multiplicity 1)
Dy 0.500 0.000 0.500 (multiplicity 1)
Mg 0.500 0.500 0.000 (multiplicity 1)
Bi 0.252 0.500 0.249 (multiplicity 2)
Bi 0.259 0.000 0.758 (multiplicity 2)

---

Below is a geometry-optimized TbDy2MgBi4 structure, with properties calculated at the GGA-PBE level.

Lattice parameters (Å, degrees): 7.766 4.438 7.781 90.00 109.87 90.00
Space group P2/m (No. 10)
Symmetry-distinct sites (fractional):
Tb 0.000 0.000 0.000 (multiplicity 1)
Dy 0.000 0.500 0.500 (multiplicity 1)
Dy 0.500 0.000 0.500 (multiplicity 1)
Mg 0.500 0.500 0.000 (multiplicity 1)
Bi 0.252 0.500 0.250 (multiplicity 2)
Bi 0.258 0.000 0.757 (multiplicity 2)

---

Below is a geometry-optimized Dy6MnBi2 structure, with properties calculated at the GGA-PBE level.

Lattice parameters (Å, degrees): 8.3033 8.3033 4.2346 90.00 90.00 120.00
Space group P-62m (No. 189)
Symmetry-distinct sites (fractional):
Dy 0.0000 0.3909 0.0000 (multiplicity 3)
Dy 0.0000 0.7703 0.5000 (multiplicity 3)
Mn 0.0000 0.0000 0.0000 (multiplicity 1)
Bi 0.3333 0.6667 0.5000 (multiplicity 2)

---

| no. | uncorrected energy (eV per atom) | ΔH_f (0 K) (eV per atom) |
| --- | --- | --- |
| 1 | -3.801 | -0.28 |
| 2 | -4.489 | -0.62 |
| 3 | -4.481 | -0.61 |
| 4 | -5.333 | -0.38 |